RbLa: optimized geometry, PBE.

The space group is Fddd (No. 70, origin choice 2) and the conventional cell measures 7.6662, 11.9987 and 20.1012 Å, with angles of 90.00, 90.00 and 90.00 degrees. The distinct sites, in fractional coordinates, are Rb at (0.1250, 0.2864, 0.1250) and La at (0.1250, 0.1250, 0.5529).

As for the formation energy: 0.71 eV/atom. The density of states at the Fermi level comes out at 1.93 states/eV per atom.

---

Sn2B2Ir: optimized geometry, PBE.

The space group is I4/mmm (No. 139) and the conventional cell measures 5.2042, 5.2042 and 5.8558 Å, with angles of 90.00, 90.00 and 90.00 degrees. The distinct sites, in fractional coordinates, are Sn at (0.0000, 0.5000, 0.2500), B at (0.0000, 0.0000, 0.1381) and Ir at (0.0000, 0.0000, 0.5000).

As for the formation energy: 0.43 eV/atom. The density of states at the Fermi level comes out at 0.66 states/eV per atom. The energy above the lowest structure with this stoichiometry comes out at 0.0000 eV/atom.

---

Dy4Bi2Pt: optimized geometry, PBE.

The space group is P2_1/m (No. 11) and the conventional cell measures 6.9689, 6.6709 and 8.7804 Å, with angles of 90.00, 102.51 and 90.00 degrees. The distinct sites, in fractional coordinates, are Dy at (0.1580, 0.0106, 0.2934), Dy at (0.3027, 0.2500, 0.9311), Dy at (0.3212, 0.7500, 0.6633), Bi at (0.1780, 0.7500, 0.9771), Bi at (0.4455, 0.2500, 0.6127) and Pt at (0.0391, 0.2500, 0.5556).

As for the formation energy: -0.75 eV/atom. The density of states at the Fermi level comes out at 0.52 states/eV per atom.

---

Ce2TmN2Cl2: optimized geometry, PBE.

The space group is I4/mmm (No. 139) and the conventional cell measures 4.4444, 4.4444 and 14.7446 Å, with angles of 90.00, 90.00 and 90.00 degrees. The distinct sites, in fractional coordinates, are Ce at (0.0000, 0.0000, 0.0991), Tm at (0.0000, 0.0000, 0.5000), N at (0.0000, 0.5000, 0.0000) and Cl at (0.0000, 0.0000, 0.3133).

The value obtained for the uncorrected formation energy is -1.548 eV/atom. The density of states at the Fermi level comes out at 1.87 states/eV per atom.

---

TaReAs2: optimized geometry, PBE.

The space group is Immm (No. 71) and the conventional cell measures 3.1623, 5.0380 and 8.4151 Å, with angles of 90.00, 90.00 and 90.00 degrees. The distinct sites, in fractional coordinates, are Ta at (0.0000, 0.0000, 0.0000), Re at (0.0000, 0.0000, 0.5000) and As at (0.0000, 0.5000, 0.2344).

As for the formation energy: 0.37 eV/atom. The density of states at the Fermi level comes out at 0.86 states/eV per atom. The energy above the lowest structure with this stoichiometry comes out at 0.4594 eV/atom.

---

La8PAu3I4: optimized geometry, PBE.

The space group is R-3m (No. 166, hexagonal axes) and the conventional cell measures 8.8555, 8.8555 and 23.3332 Å, with angles of 90.00, 90.00 and 120.00 degrees. The distinct sites, in fractional coordinates, are La at (0.0000, 0.0000, 0.2350), La at (0.0115, 0.5058, 0.2365), P at (0.0000, 0.0000, 0.5000), Au at (0.0000, 0.5000, 0.5000), I at (0.0000, 0.0000, 0.0000) and I at (0.0000, 0.5000, 0.0000).

The value obtained for the uncorrected formation energy is -1.030 eV/atom. The density of states at the Fermi level comes out at 0.99 states/eV per atom.